# GGA-PBE ScFeCl3, relaxed
data_ScFeCl3
_chemical_formula_sum 'Sc1 Fe1 Cl3'
_cell_length_a 4.555
_cell_length_b 4.555
_cell_length_c 4.555
_cell_angle_alpha 90.00
_cell_angle_beta 90.00
_cell_angle_gamma 90.00
_space_group_name_H-M_alt 'P m -3 m'
_space_group_IT_number 221
_space_group_name_Hall '-P 4 2 3'
loop_
_atom_site_label
_atom_site_fract_x
_atom_site_fract_y
_atom_site_fract_z
Sc1 0.000 0.000 0.000
Fe1 0.500 0.500 0.500
Cl1 0.000 0.500 0.500
# formation energy from raw total energies	-0.317	eV per atom
# distance to the lowest polymorph of the same formula	364.4	meV/atom
# total DFT energy (no corrections)	-21.9	eV per cell